# 1
8
Lattice="7.1028 0.0000 0.0000 0.0000 4.0881 0.0000 -2.3348 0.0000 6.7096" Properties=species:S:1:pos:R:3 comment="PBE Dy2HoUAs4, relaxed" space_group="No. 10" e_form_ev_per_atom=-1.329 e_tot_ev_per_cell=-54.30 pbc="T T T"
Dy 0.0000 0.0000 0.0000
Dy 3.5514 2.0441 0.0000
Ho -1.1674 2.0441 3.3548
U 2.3840 0.0000 3.3548
As 0.0471 0.0000 5.0077
As 1.1980 2.0441 1.6941
As 4.7209 0.0000 1.7019
As 3.5700 2.0441 5.0155



# 2
12
Lattice="3.5640 -6.1719 0.0000 3.5640 6.1719 0.0000 -2.3726 0.0000 6.7202" Properties=species:S:1:pos:R:3 comment="PBE DyY3Ho2As6, relaxed" space_group="No. 12" e_form_ev_per_atom=-1.544 e_tot_ev_per_cell=-79.58 pbc="T T T"
Dy 0.0000 0.0000 0.0000
Y 2.3777 4.1170 3.3601
Y 2.3777 0.0000 3.3601
Y 2.3777 -4.1170 3.3601
Ho 3.5640 2.0580 0.0000
Ho 3.5640 -2.0580 0.0000
As 1.1913 2.0613 1.6705
As 0.0074 0.0000 5.0505
As 1.1913 -2.0613 1.6705
As 3.5642 2.0613 5.0496
As 4.7481 0.0000 1.6696
As 3.5642 -2.0613 5.0496



# 3
12
Lattice="3.5625 -6.1693 0.0000 3.5625 6.1693 0.0000 -2.3715 0.0000 6.7172" Properties=species:S:1:pos:R:3 comment="PBE Dy3YHo2As6, relaxed" space_group="No. 12" e_form_ev_per_atom=-1.537 e_tot_ev_per_cell=-75.77 pbc="T T T"
Dy 0.0000 0.0000 0.0000
Dy 3.5625 2.0539 0.0000
Dy 3.5625 -2.0539 0.0000
Y 2.3768 0.0000 3.3586
Ho 2.3768 4.1124 3.3586
Ho 2.3768 -4.1124 3.3586
As 1.1848 2.0626 1.6830
As -0.0045 0.0000 5.0338
As 1.1848 -2.0626 1.6830
As 3.5688 2.0626 5.0342
As 4.7582 0.0000 1.6834
As 3.5688 -2.0626 5.0342



# 4
12
Lattice="8.9557 -2.0553 0.0000 8.9557 2.0553 0.0000 -1.8824 0.0000 7.9998" Properties=species:S:1:pos:R:3 comment="PBE Dy2YHo3As6, relaxed" space_group="No. 12" e_form_ev_per_atom=-1.536 e_tot_ev_per_cell=-75.73 pbc="T T T"
Dy 2.3587 0.0000 2.6650
Dy 13.6703 0.0000 5.3348
Y 8.9557 0.0000 0.0000
Ho 1.4164 0.0000 6.6646
Ho 8.0145 0.0000 3.9999
Ho 14.6126 0.0000 1.3352
As 17.4342 0.0000 2.0089
As -1.4052 0.0000 5.9909
As 4.2355 0.0000 7.3394
As 5.1916 0.0000 3.3298
As 10.8374 0.0000 4.6700
As 11.7935 0.0000 0.6604



# 5
8
Lattice="7.1186 0.0000 0.0000 0.0000 4.1117 0.0000 -2.3719 0.0000 6.7120" Properties=species:S:1:pos:R:3 comment="PBE DyYHo2As4, relaxed" space_group="No. 10" e_form_ev_per_atom=-1.538 e_tot_ev_per_cell=-51.13 pbc="T T T"
Dy 0.0000 0.0000 0.0000
Y -1.1859 2.0559 3.3560
Ho 2.3734 0.0000 3.3560
Ho 3.5593 2.0559 0.0000
As 1.1959 2.0559 1.6792
As 0.0109 0.0000 5.0397
As 4.7358 0.0000 1.6723
As 3.5509 2.0559 5.0328



# 6
8
Lattice="6.9901 0.0000 0.0000 0.0000 4.0342 0.0000 -2.3104 0.0000 6.5987" Properties=species:S:1:pos:R:3 comment="PBE DyHo2ZrAs4, relaxed" space_group="No. 10" e_form_ev_per_atom=-1.427 e_tot_ev_per_cell=-52.32 pbc="T T T"
Dy 0.0000 0.0000 0.0000
Ho 2.3399 0.0000 3.2993
Ho 3.4950 2.0171 0.0000
Zr -1.1552 2.0171 3.2993
As -0.0224 0.0000 4.8885
As 1.1296 2.0171 1.6864
As 3.5501 2.0171 4.9122
As 4.7021 0.0000 1.7102



# 7
5
Lattice="2.0903 1.2069 11.6083 -2.0903 1.2069 11.6083 0.0000 -2.4137 11.6083" Properties=species:S:1:pos:R:3 comment="PBE Dy2AsI2, relaxed" space_group="No. 166" e_tot_ev_per_cell=-24.31 pbc="T T T"
Dy 0.0000 0.0000 4.2698
Dy 0.0000 0.0000 30.5551
As 0.0000 0.0000 17.4124
I 0.0000 0.0000 9.3557
I 0.0000 0.0000 25.4691



# 8
20
Lattice="7.8641 4.5403 3.4557 -7.8641 4.5403 3.4557 0.0000 -9.0806 3.4557" Properties=species:S:1:pos:R:3 comment="PBE Dy7AsI12, relaxed" space_group="No. 148" e_tot_ev_per_cell=-81.27 pbc="T T T"
Dy 0.0000 0.0000 0.0000
Dy -2.1710 -0.6143 3.6523
Dy 1.6175 -1.5730 3.6523
Dy 0.5535 2.1873 3.6523
Dy -0.5535 -2.1873 6.7149
Dy -1.6175 1.5730 6.7149
Dy 2.1710 0.6143 6.7149
As 0.0000 0.0000 5.1836
I -0.6267 -2.4772 1.6991
I -1.8320 1.7813 1.6991
I -3.0771 -3.1314 5.1586
I -4.2504 1.0991 5.2086
I 2.4587 0.6959 1.6991
I 1.1733 -4.2305 5.2086
I -1.1733 4.2305 5.1586
I -2.4587 -0.6959 8.6681
I 4.2504 -1.0991 5.1586
I 3.0771 3.1314 5.2086
I 1.8320 -1.7813 8.6681
I 0.6266 2.4772 8.6681



no.,total moment (μB per formula unit)
1,2.32
2,0.00
3,0.00
4,0.00
5,0.00
6,0.00
7,0.00
8,0.00